First-principles (GGA+U) data for Cs2BaVF6 after structural relaxation, as listed in Alexandria.

a b c (Å): 6.6490 6.6762 9.4173
angles (deg): 90.00 90.00 90.00
With the nearest neighbours (Å) after each atom.
Positions (direct):
F 0.7273 0.0214 0.5000  1 V 2.14
Cs 0.0000 0.2487 0.7491  12 F 3.32-3.37
F 0.7724 0.5248 0.0000  1 V 2.14
V 0.5000 0.2484 0.5000  6 F 2.14
F 0.2727 0.0214 0.5000  1 V 2.14
F 0.0000 0.7520 0.7731  1 V 2.14
F 0.2724 0.4752 0.5000  1 V 2.14
F 0.5000 0.2480 0.2731  1 V 2.14
Cs 0.5000 0.7513 0.2491  12 F 3.32-3.37
F 0.7727 0.9786 0.0000  1 V 2.14
Cs 0.0000 0.2487 0.2509  12 F 3.32-3.37
V 0.0000 0.7516 0.0000  6 F 2.14
F 0.0000 0.7520 0.2269  1 V 2.14
Ba 0.5000 0.2516 0.0000  6 F 2.57
F 0.5000 0.2480 0.7269  1 V 2.14
F 0.7276 0.4752 0.5000  1 V 2.14
Cs 0.5000 0.7513 0.7509  12 F 3.32-3.37
F 0.2273 0.9786 0.0000  1 V 2.14
F 0.2276 0.5248 0.0000  1 V 2.14
Ba 0.0000 0.7484 0.5000  6 F 2.57

Calculated values
Fermi-level density of states in states/eV per cell: 0.00
Size of the total moment in μB per cell: 6.00
Raw total energy in eV per cell: -105.54
Symmetry: No. 59